No. 1
This record from OQMD via LeMat-Bulk describes NaScCdO3 after structural relaxation. The functional is PBE.

Computed properties:
Electronic total energy ... -35.2 eV/f.u.

Geometry as CIF:
```
data_NaScCdO3
_chemical_formula_sum 'Na4 Sc4 Cd4 O12'
_cell_length_a 3.3098
_cell_length_b 12.1317
_cell_length_c 8.5189
_cell_angle_alpha 90.00
_cell_angle_beta 90.00
_cell_angle_gamma 90.00
_symmetry_space_group_name_H-M 'C m c m'
_symmetry_Int_Tables_number 63
_symmetry_space_group_name_Hall '-C 2c 2'
loop_
_atom_site_label
_atom_site_type_symbol
_atom_site_fract_x
_atom_site_fract_y
_atom_site_fract_z
Na1 Na 0.0000 0.1485 0.2500
Sc1 Sc 0.0000 0.5000 0.0000
Cd1 Cd 0.0000 0.1288 0.7500
O1 O 0.0000 0.1147 0.5080
O2 O 0.0000 0.4874 0.7500
```

---

No. 2
This record from OQMD via LeMat-Bulk describes ScInCoAu after structural relaxation. The functional is PBE.

Computed properties:
Offset from the most stable computed form ... 158 meV per atom
Electronic total energy ... -20.1 eV/f.u.

Geometry as CIF:
```
data_ScInCoAu
_chemical_formula_sum 'Sc4 In4 Co4 Au4'
_cell_length_a 6.5641
_cell_length_b 6.5641
_cell_length_c 6.5641
_cell_angle_alpha 90.00
_cell_angle_beta 90.00
_cell_angle_gamma 90.00
_symmetry_space_group_name_H-M 'F -4 3 m'
_symmetry_Int_Tables_number 216
_symmetry_space_group_name_Hall 'F -4 2 3'
loop_
_atom_site_label
_atom_site_type_symbol
_atom_site_fract_x
_atom_site_fract_y
_atom_site_fract_z
Sc1 Sc 0.0000 0.0000 0.0000
In1 In 0.2500 0.2500 0.2500
Co1 Co 0.0000 0.0000 0.5000
Au1 Au 0.2500 0.2500 0.7500
```

---

No. 3
This record from OQMD via LeMat-Bulk describes CdGeSO after structural relaxation. The functional is PBE.

Computed properties:
Offset from the most stable computed form ... 326 meV per atom
Electronic total energy ... -16.4 eV/f.u.

Geometry as CIF:
```
data_CdGeSO
_chemical_formula_sum 'Cd2 Ge2 S2 O2'
_cell_length_a 4.1400
_cell_length_b 4.1400
_cell_length_c 10.6318
_cell_angle_alpha 90.00
_cell_angle_beta 90.00
_cell_angle_gamma 90.00
_symmetry_space_group_name_H-M 'P 4/n m m'
_symmetry_Int_Tables_number 129
loop_
_symmetry_equiv_pos_as_xyz
'x,y,z'
'-x,-y,-z'
'-y+1/2,x,z'
'y+1/2,-x,-z'
'-x+1/2,-y+1/2,z'
'x+1/2,y+1/2,-z'
'y,-x+1/2,z'
'-y,x+1/2,-z'
'x+1/2,-y,-z'
'-x+1/2,y,z'
'-y,-x,-z'
'y,x,z'
'-x,y+1/2,-z'
'x,-y+1/2,z'
'y+1/2,x+1/2,-z'
'-y+1/2,-x+1/2,z'
loop_
_atom_site_label
_atom_site_type_symbol
_atom_site_fract_x
_atom_site_fract_y
_atom_site_fract_z
Cd1 Cd 0.2500 0.7500 0.0000
Ge1 Ge 0.2500 0.2500 0.4063
S1 S 0.2500 0.2500 0.8525
O1 O 0.2500 0.2500 0.5682
```

---

No. 4
This record from OQMD via LeMat-Bulk describes NaNdCdS3 after structural relaxation. The functional is PBE.

Computed properties:
Offset from the most stable computed form ... 36 meV per atom
Electronic total energy ... -27.1 eV/f.u.

Geometry as CIF:
```
data_NaNdCdS3
_chemical_formula_sum 'Na4 Nd4 Cd4 S12'
_cell_length_a 7.8557
_cell_length_b 4.1723
_cell_length_c 16.8344
_cell_angle_alpha 90.00
_cell_angle_beta 90.00
_cell_angle_gamma 90.00
_symmetry_space_group_name_H-M 'P n m a'
_symmetry_Int_Tables_number 62
loop_
_symmetry_equiv_pos_as_xyz
'x,y,z'
'-x,-y,-z'
'-x+1/2,-y,z+1/2'
'x+1/2,y,-z+1/2'
'x+1/2,-y+1/2,-z+1/2'
'-x+1/2,y+1/2,z+1/2'
'-x,y+1/2,-z'
'x,-y+1/2,z'
loop_
_atom_site_label
_atom_site_type_symbol
_atom_site_fract_x
_atom_site_fract_y
_atom_site_fract_z
Na1 Na 0.0548 0.2500 0.2010
Nd1 Nd 0.2326 0.2500 0.9614
Cd1 Cd 0.0860 0.2500 0.6599
S1 S 0.0117 0.2500 0.4201
S2 S 0.1245 0.7500 0.0651
S3 S 0.2330 0.2500 0.7903
```

---

No. 5
This record from OQMD via LeMat-Bulk describes Hf2Ta4Co3C3 after structural relaxation. The functional is PBE.

Computed properties:
Electronic total energy ... -121.9 eV/f.u.

Geometry as CIF:
```
data_Hf2Ta4Co3C3
_chemical_formula_sum 'Hf8 Ta16 Co12 C12'
_cell_length_a 9.3066
_cell_length_b 5.3660
_cell_length_c 13.4513
_cell_angle_alpha 90.00
_cell_angle_beta 103.67
_cell_angle_gamma 90.00
_symmetry_space_group_name_H-M 'C 1 2/c 1'
_symmetry_Int_Tables_number 15
loop_
_symmetry_equiv_pos_as_xyz
'x,y,z'
'-x,-y,-z'
'-x,y,-z+1/2'
'x,-y,z+1/2'
'x+1/2,y+1/2,z'
'-x+1/2,-y+1/2,-z'
'-x+1/2,y+1/2,-z+1/2'
'x+1/2,-y+1/2,z+1/2'
loop_
_atom_site_label
_atom_site_type_symbol
_atom_site_fract_x
_atom_site_fract_y
_atom_site_fract_z
Hf1 Hf 0.0417 0.0827 0.3813
Ta1 Ta 0.1140 0.4122 0.5923
Ta2 Ta 0.2211 0.4172 0.9077
Co1 Co 0.0000 0.4312 0.7500
Co2 Co 0.2402 0.1546 0.7502
C1 C 0.0820 0.2459 0.9999
C2 C 0.2500 0.2500 0.5000
```

---

No. 6
This record from OQMD via LeMat-Bulk describes BeB2Au after structural relaxation. The functional is PBE.

Computed properties:
Electronic total energy ... -15.2 eV/f.u.

Geometry as CIF:
```
data_BeB2Au
_chemical_formula_sum 'Be4 B8 Au4'
_cell_length_a 5.4938
_cell_length_b 5.4938
_cell_length_c 5.4938
_cell_angle_alpha 90.00
_cell_angle_beta 90.00
_cell_angle_gamma 90.00
_symmetry_space_group_name_H-M 'F -4 3 m'
_symmetry_Int_Tables_number 216
_symmetry_space_group_name_Hall 'F -4 2 3'
loop_
_atom_site_label
_atom_site_type_symbol
_atom_site_fract_x
_atom_site_fract_y
_atom_site_fract_z
Be1 Be 0.0000 0.0000 0.0000
B1 B 0.0000 0.0000 0.5000
B2 B 0.2500 0.2500 0.7500
Au1 Au 0.2500 0.2500 0.2500
```

---

No. 7
This record from OQMD via LeMat-Bulk describes HoNbN2O after structural relaxation. The functional is PBE.

Computed properties:
Electronic total energy ... -45.1 eV/f.u.

Geometry as CIF:
```
data_HoNbN2O
_chemical_formula_sum 'Ho8 Nb8 N16 O8'
_cell_length_a 7.9680
_cell_length_b 7.8306
_cell_length_c 11.1575
_cell_angle_alpha 90.00
_cell_angle_beta 134.31
_cell_angle_gamma 90.00
_symmetry_space_group_name_H-M 'P 1 21/c 1'
_symmetry_Int_Tables_number 14
loop_
_symmetry_equiv_pos_as_xyz
'x,y,z'
'-x,-y,-z'
'-x,y+1/2,-z+1/2'
'x,-y+1/2,z+1/2'
loop_
_atom_site_label
_atom_site_type_symbol
_atom_site_fract_x
_atom_site_fract_y
_atom_site_fract_z
Ho1 Ho 0.1706 0.0177 0.2145
Ho2 Ho 0.2338 0.0052 0.7421
Nb1 Nb 0.2847 0.7411 0.0071
Nb2 Nb 0.2865 0.2465 0.5248
N1 N 0.1701 0.0053 0.4829
N2 N 0.2742 0.5042 0.4789
N3 N 0.4128 0.7052 0.9057
N4 N 0.4175 0.2328 0.2571
O1 O 0.0495 0.6916 0.5385
O2 O 0.0672 0.2413 0.7593
```

---

No. 8
This record from OQMD via LeMat-Bulk describes Ho2TmMg3CuHg2 after structural relaxation. The functional is PBE.

Computed properties:
Electronic total energy ... -25.6 eV/f.u.

Geometry as CIF:
```
data_Ho2TmMg3CuHg2
_chemical_formula_sum 'Ho4 Tm2 Mg6 Cu2 Hg4'
_cell_length_a 4.1191
_cell_length_b 13.2225
_cell_length_c 7.6580
_cell_angle_alpha 90.00
_cell_angle_beta 90.00
_cell_angle_gamma 90.00
_symmetry_space_group_name_H-M 'A m m 2'
_symmetry_Int_Tables_number 38
loop_
_symmetry_equiv_pos_as_xyz
'x,y,z'
'-x,-y,z'
'-x,y,z'
'x,-y,z'
'x,y+1/2,z+1/2'
'-x,-y+1/2,z+1/2'
'-x,y+1/2,z+1/2'
'x,-y+1/2,z+1/2'
loop_
_atom_site_label
_atom_site_type_symbol
_atom_site_fract_x
_atom_site_fract_y
_atom_site_fract_z
Ho1 Ho 0.0000 0.2015 0.0000
Tm1 Tm 0.0000 0.0000 0.3966
Mg1 Mg 0.5000 0.0000 0.0360
Mg2 Mg 0.5000 0.1187 0.6795
Cu1 Cu 0.0000 0.0000 0.7971
Hg1 Hg 0.5000 0.1656 0.2988
```

---

No. 9
This record from OQMD via LeMat-Bulk describes Hf5Ge4 after structural relaxation. The functional is PBE.

Computed properties:
Offset from the most stable computed form ... 20 meV per atom
Electronic total energy ... -74.4 eV/f.u.

Geometry as CIF:
```
data_Hf5Ge4
_chemical_formula_sum 'Hf10 Ge8'
_cell_length_a 8.2550
_cell_length_b 8.2550
_cell_length_c 5.6524
_cell_angle_alpha 90.00
_cell_angle_beta 90.00
_cell_angle_gamma 120.00
_symmetry_space_group_name_H-M 'P 63/m c m'
_symmetry_Int_Tables_number 193
_symmetry_space_group_name_Hall '-P 6c 2'
loop_
_atom_site_label
_atom_site_type_symbol
_atom_site_fract_x
_atom_site_fract_y
_atom_site_fract_z
Hf1 Hf 0.0000 0.2743 0.2500
Hf2 Hf 0.3333 0.6667 0.0000
Ge1 Ge 0.0000 0.0000 0.0000
Ge2 Ge 0.0000 0.3906 0.7500
```

---

No. 10
This record from OQMD via LeMat-Bulk describes HoTmTl4 after structural relaxation. The functional is PBE.

Computed properties:
Electronic total energy ... -19.9 eV/f.u.

Geometry as CIF:
```
data_HoTmTl4
_chemical_formula_sum 'Ho2 Tm2 Tl8'
_cell_length_a 4.6535
_cell_length_b 4.6734
_cell_length_c 14.5304
_cell_angle_alpha 90.00
_cell_angle_beta 90.00
_cell_angle_gamma 90.00
_symmetry_space_group_name_H-M 'A m m 2'
_symmetry_Int_Tables_number 38
loop_
_symmetry_equiv_pos_as_xyz
'x,y,z'
'-x,-y,z'
'-x,y,z'
'x,-y,z'
'x,y+1/2,z+1/2'
'-x,-y+1/2,z+1/2'
'-x,y+1/2,z+1/2'
'x,-y+1/2,z+1/2'
loop_
_atom_site_label
_atom_site_type_symbol
_atom_site_fract_x
_atom_site_fract_y
_atom_site_fract_z
Ho1 Ho 0.0000 0.0000 0.0000
Tm1 Tm 0.0000 0.0000 0.6894
Tl1 Tl 0.0000 0.0000 0.3446
Tl2 Tl 0.5000 0.0000 0.1684
Tl3 Tl 0.5000 0.0000 0.5211
Tl4 Tl 0.5000 0.0000 0.8446
```